# PmPrEr2As4

PmPrEr2As4 after structural relaxation (GGA-PBE, Alexandria).

Output
electronic total energy: -6.16 eV/atom
energy relative to the elements: -1507 meV per atom

Lattice parameters (Å, degrees): 7.230 4.184 7.239 90.00 109.48 90.00
Fractional positions:
Pm 0.000 0.000 0.000
Pr 0.000 0.500 0.500
Er 0.500 0.000 0.500
Er 0.500 0.500 0.000
As 0.261 0.500 0.252
As 0.262 0.000 0.756
As 0.738 0.000 0.244
As 0.739 0.500 0.748

***

# Pm3Pr2ErAs6

Pm3Pr2ErAs6 after structural relaxation (GGA-PBE, Alexandria).

Output
electronic total energy: -6.20 eV/atom
energy relative to the elements: -1507 meV per atom

Lattice parameters (Å, degrees): 9.474 9.474 8.474 102.95 102.95 25.86
Fractional positions:
Pm 0.000 0.000 0.000
Pm 0.333 0.333 0.666
Pm 0.667 0.667 0.334
Pr 0.335 0.335 0.168
Pr 0.665 0.665 0.832
Er 0.000 0.000 0.500
As 0.164 0.164 0.579
As 0.166 0.166 0.086
As 0.498 0.498 0.742
As 0.502 0.502 0.258
As 0.834 0.834 0.914
As 0.836 0.836 0.421

***

# Pm2ErAs3Pt4

Pm2ErAs3Pt4 after structural relaxation (GGA-PBE, Alexandria).

Output
electronic total energy: -6.18 eV/atom
energy relative to the elements: -967 meV per atom

Lattice parameters (Å, degrees): 4.279 4.279 11.323 90.00 90.00 90.00
Fractional positions:
Pm 0.000 0.500 0.214
Pm 0.500 0.000 0.786
Er 0.000 0.000 0.500
As 0.000 0.500 0.870
As 0.500 0.000 0.130
As 0.500 0.500 0.500
Pt 0.000 0.000 0.000
Pt 0.000 0.500 0.654
Pt 0.500 0.000 0.346
Pt 0.500 0.500 0.000

***

# PmEr2PuAs4

PmEr2PuAs4 after structural relaxation (GGA-PBE, Alexandria).

Output
electronic total energy: -7.23 eV/atom
energy relative to the elements: -1383 meV per atom

Lattice parameters (Å, degrees): 7.149 4.142 7.161 90.00 109.49 90.00
Fractional positions:
Pm 0.000 0.000 0.000
Er 0.500 0.000 0.500
Er 0.500 0.500 0.000
Pu 0.000 0.500 0.500
As 0.254 0.000 0.747
As 0.257 0.500 0.256
As 0.743 0.500 0.744
As 0.746 0.000 0.253

***

# PmErPu2As4

PmErPu2As4 after structural relaxation (GGA-PBE, Alexandria).

Output
electronic total energy: -8.34 eV/atom
energy relative to the elements: -1265 meV per atom

Lattice parameters (Å, degrees): 7.156 4.156 7.195 90.00 109.58 90.00
Fractional positions:
Pm 0.000 0.000 0.000
Er 0.000 0.500 0.500
Pu 0.500 0.000 0.500
Pu 0.500 0.500 0.000
As 0.253 0.000 0.746
As 0.257 0.500 0.257
As 0.743 0.500 0.743
As 0.747 0.000 0.254

***

# Pm2ErAs4Rh3

Pm2ErAs4Rh3 after structural relaxation (GGA-PBE, Alexandria).

Output
electronic total energy: -6.44 eV/atom
energy relative to the elements: -965 meV per atom

Lattice parameters (Å, degrees): 4.311 4.311 10.863 90.00 90.00 90.00
Fractional positions:
Pm 0.000 0.500 0.222
Pm 0.500 0.000 0.778
Er 0.000 0.000 0.500
As 0.000 0.000 0.000
As 0.000 0.500 0.661
As 0.500 0.000 0.339
As 0.500 0.500 0.000
Rh 0.000 0.500 0.888
Rh 0.500 0.000 0.112
Rh 0.500 0.500 0.500

***

# PmErAsSe

PmErAsSe after structural relaxation (GGA-PBE, Alexandria).

Output
electronic total energy: -5.97 eV/atom
E_form (uncorrected): -1.61 eV per atom

Lattice parameters (Å, degrees): 7.557 7.557 7.557 31.17 31.17 31.17
Fractional positions:
Pm 0.000 0.000 0.000
Er 0.180 0.180 0.180
As 0.588 0.588 0.588
Se 0.425 0.425 0.425

***

# Pm3Sm2ErAs6

Pm3Sm2ErAs6 after structural relaxation (GGA-PBE, Alexandria).

Output
electronic total energy: -6.20 eV/atom
energy relative to the elements: -1521 meV per atom

Lattice parameters (Å, degrees): 9.402 9.402 8.408 102.92 102.92 25.86
Fractional positions:
Pm 0.000 0.000 0.000
Pm 0.333 0.333 0.666
Pm 0.667 0.667 0.334
Sm 0.334 0.334 0.168
Sm 0.666 0.666 0.832
Er 0.000 0.000 0.500
As 0.164 0.164 0.583
As 0.167 0.167 0.082
As 0.500 0.500 0.257
As 0.500 0.500 0.743
As 0.833 0.833 0.918
As 0.836 0.836 0.417